Entry 1:
PBE Sm8Ir3RuI4, relaxed; V = 481.26 Å³/cell; formation energy (no corrections) = -14.2 eV per formula unit
1.0
8.3112 0.0000 0.0000
0.0000 9.3378 0.7176
-4.1556 -4.1485 5.8824
Sm Ir Ru I
8 3 1 4
Direct
0.2259 0.6839 0.9578
0.2260 0.6838 0.4520
0.2728 0.3182 0.5455
0.7319 0.6839 0.9578
0.2681 0.3161 0.0422
0.7272 0.6818 0.4545
0.7740 0.3162 0.5480
0.7741 0.3161 0.0422
0.5000 0.5000 0.0000
0.5000 0.5000 0.5000
0.0000 0.5000 0.5000
0.0000 0.5000 0.0000
0.5000 0.0000 0.0000
0.5000 0.0000 0.5000
0.0000 0.0000 0.0000
0.0000 0.0000 0.5000

---

Entry 2:
PBE Sm6Ir2RuI3, relaxed; V = 360.25 Å³/cell; formation energy (no corrections) = -10.3 eV per formula unit
1.0
-0.5313 -5.2066 -4.9298
5.6672 4.4244 -0.0423
2.2486 -4.7643 6.5363
Sm Ir Ru I
6 2 1 3
Direct
0.9391 0.6099 0.8168
0.7323 0.7323 0.1837
0.0609 0.3901 0.1832
0.6099 0.9391 0.8168
0.2677 0.2677 0.8163
0.3901 0.0609 0.1832
0.3335 0.6665 0.0000
0.6665 0.3335 0.0000
0.0000 0.0000 0.0000
0.1662 0.8338 0.5000
0.8338 0.1662 0.5000
0.5000 0.5000 0.5000

---

Entry 3:
PBE TaIrRuI2, relaxed; V = 130.13 Å³/cell; formation energy (no corrections) = 8.8 eV per formula unit
1.0
5.2301 0.0000 0.0000
0.0000 4.7572 0.0000
0.0000 0.0000 5.2301
I Ru Ir Ta
2 1 1 1
Direct
0.0000 0.0000 0.5000
0.5000 0.0000 0.0000
0.0000 0.5000 0.0000
0.0000 0.0000 0.0000
0.5000 0.5000 0.5000

---

Entry 4:
PBE Te2IrRuI, relaxed; offset from the most stable computed form = 0.00 eV/f.u.; V = 147.66 Å³/cell; formation energy (no corrections) = 6.1 eV per formula unit
1.0
-0.6818 1.9633 -4.7678
3.2862 -3.5406 -1.9279
-4.1700 -3.4267 -0.8148
I Ru Ir Te
1 1 1 2
Direct
0.0000 0.0000 0.5000
0.5000 0.5000 0.5000
0.0000 0.0000 0.0000
0.0000 0.5000 0.0000
0.5000 0.0000 0.0000

---

Entry 5:
PBE Te2IrRuI, relaxed; offset from the most stable computed form = 0.37 eV/f.u.; V = 136.33 Å³/cell; formation energy (no corrections) = 6.4 eV per formula unit
1.0
-0.2262 4.8212 -1.4902
-3.9490 -1.0978 -2.9523
-3.3231 1.0925 4.0387
I Ru Ir Te
1 1 1 2
Direct
0.0000 0.0000 0.5000
0.0000 0.0000 0.0000
0.5000 0.5000 0.5000
0.0000 0.5000 0.0000
0.5000 0.0000 0.0000

---

Entry 6:
PBE IrS2I, relaxed; offset from the most stable computed form = 1.39 eV/f.u.; V = 204.86 Å³/cell; formation energy (no corrections) = 0.7 eV per formula unit
1.0
6.6751 0.0000 0.0000
0.0000 6.6751 0.0000
3.3376 3.3376 4.5976
I S Ir
2 4 2
Direct
0.5000 0.5000 0.0000
0.2500 0.7500 0.5000
0.7320 0.1250 0.2500
0.0180 0.6250 0.2500
0.3750 0.2680 0.7500
0.8750 0.9820 0.7500
0.0000 0.0000 0.0000
0.7500 0.2500 0.5000

---

> The highest V belongs to which entry?

Sm8Ir3RuI4

---

> Number 1 is which compound?

Sm8Ir3RuI4

---

> Look up the formation energy (no corrections) of the fourth one.

6.1 eV per formula unit